Entry from the Alexandria database: an optimized crystal structure of LiYFe2F (PBE with a Hubbard U).

Lattice parameters (Å, degrees): 5.849 4.257 5.849 90.00 90.00 90.00
Site moments in Bohr magnetons follow the coordinates.
Sites, in units of the cell vectors:
Li  0.500  0.500  0.500  -0.01
Fe  0.000  0.000  0.500  3.60
Fe  0.500  0.000  0.000  3.68
F  0.000  0.500  0.000  0.00
Y  0.000  0.000  0.000  -0.29

## Properties
N(E_F) = 1.95 states/eV/cell
Total energy = -21.2 eV/cell